## LiBe3Cd (PBE-GGA)

Data for an optimized crystal structure of LiBe3Cd.

Its energy of formation from the pure elements is 935 meV/atom. The polymorph energy (0 for the lowest one) is 24 meV/atom. The magnetization is 0.0 μB/f.u. As for the volume: 66.04 Å³/cell. The calculation puts the density of states at the Fermi level at 1.4 states/eV/f.u.

The space group is Pm-3m (No. 221) and the conventional cell measures 4.0421, 4.0421 and 4.0421 Å, with angles of 90.00, 90.00 and 90.00 degrees. The distinct sites, in fractional coordinates, are Li at (0.0000, 0.0000, 0.0000), Be at (0.0000, 0.0000, 0.5000) and Cd at (0.5000, 0.5000, 0.5000).

---

## Ce2Ga5Ir3 (PBE-GGA)

Data for an optimized crystal structure of Ce2Ga5Ir3.

Its energy of formation from the pure elements is -734 meV/atom. The polymorph energy (0 for the lowest one) is 0 meV/atom. The magnetization is 0.7 μB/f.u. As for the volume: 743.53 Å³/cell. The calculation puts the density of states at the Fermi level at 8.6 states/eV/f.u.

The space group is Ibam (No. 72) and the conventional cell measures 10.1028, 12.7573 and 5.7690 Å, with angles of 90.00, 90.00 and 90.00 degrees. The distinct sites, in fractional coordinates, are Ce at (0.2247, 0.1414, 0.0000), Ga at (0.0000, 0.0000, 0.2500), Ga at (0.0000, 0.2953, 0.2500), Ga at (0.1714, 0.4124, 0.0000), Ir at (0.0000, 0.5000, 0.2500) and Ir at (0.0975, 0.1502, 0.5000).

---

## Hf2AsI (PBE-GGA)

Data for an optimized crystal structure of Hf2AsI.

The magnetization is 0.0 μB/f.u. As for the volume: 450.65 Å³/cell. The formation energy without anion corrections comes out at 0.195 eV per atom. The calculation puts the density of states at the Fermi level at 5.3 states/eV/f.u.

The space group is I-42d (No. 122) and the conventional cell measures 5.2041, 5.2041 and 16.6396 Å, with angles of 90.00, 90.00 and 90.00 degrees. The distinct sites, in fractional coordinates, are Hf at (0.1791, 0.2500, 0.1250), As at (0.0000, 0.0000, 0.0000) and I at (0.0000, 0.0000, 0.5000).

---

## AcTlHg3 (PBE-GGA)

Data for an optimized crystal structure of AcTlHg3.

Its energy of formation from the pure elements is -319 meV/atom. The polymorph energy (0 for the lowest one) is 0 meV/atom. The magnetization is 0.0 μB/f.u. As for the volume: 571.72 Å³/cell. The calculation puts the density of states at the Fermi level at 2.3 states/eV/f.u.

The space group is Cmcm (No. 63) and the conventional cell measures 5.2326, 20.8605 and 5.2377 Å, with angles of 90.00, 90.00 and 90.00 degrees. The distinct sites, in fractional coordinates, are Ac at (0.0000, 0.1453, 0.2500), Tl at (0.0000, 0.3488, 0.2500), Hg at (0.0000, 0.0415, 0.7500), Hg at (0.0000, 0.2509, 0.7500) and Hg at (0.0000, 0.4574, 0.7500).

---

## Dy2Y3Tm (PBE-GGA)

Data for an optimized crystal structure of Dy2Y3Tm.

Its energy of formation from the pure elements is 6 meV/atom. The polymorph energy (0 for the lowest one) is 0 meV/atom. The magnetization is 0.0 μB/f.u. As for the volume: 761.21 Å³/cell. The calculation puts the density of states at the Fermi level at 8.9 states/eV/f.u.

The space group is C2/c (No. 15) and the conventional cell measures 17.5937, 7.1733 and 6.2057 Å, with angles of 90.00, 103.60 and 90.00 degrees. The distinct sites, in fractional coordinates, are Dy at (0.1664, 0.1243, 0.0279), Y at (0.0000, 0.3738, 0.7500), Y at (0.1673, 0.3743, 0.5282) and Tm at (0.0000, 0.1235, 0.2500).

---

## Ho5TmTl2In (PBE-GGA)

Data for an optimized crystal structure of Ho5TmTl2In.

Its energy of formation from the pure elements is -3 meV/atom. The magnetization is 0.0 μB/f.u. As for the volume: 1059.68 Å³/cell. The calculation puts the density of states at the Fermi level at 9.8 states/eV/f.u.

The space group is I4/mcm (No. 140) and the conventional cell measures 7.7490, 7.7490 and 17.6475 Å, with angles of 90.00, 90.00 and 90.00 degrees. The distinct sites, in fractional coordinates, are Ho at (0.0000, 0.0000, 0.0000), Ho at (0.2127, 0.2873, 0.1354), Tm at (0.0000, 0.5000, 0.2500), Tl at (0.1259, 0.3741, 0.5000) and In at (0.0000, 0.0000, 0.2500).

---

Question: Number 4 is which compound?
Answer: AcTlHg3

---

Copy entry 5 word for word.
## Dy2Y3Tm (PBE-GGA)

Data for an optimized crystal structure of Dy2Y3Tm.

Its energy of formation from the pure elements is 6 meV/atom. The polymorph energy (0 for the lowest one) is 0 meV/atom. The magnetization is 0.0 μB/f.u. As for the volume: 761.21 Å³/cell. The calculation puts the density of states at the Fermi level at 8.9 states/eV/f.u.

The space group is C2/c (No. 15) and the conventional cell measures 17.5937, 7.1733 and 6.2057 Å, with angles of 90.00, 103.60 and 90.00 degrees. The distinct sites, in fractional coordinates, are Dy at (0.1664, 0.1243, 0.0279), Y at (0.0000, 0.3738, 0.7500), Y at (0.1673, 0.3743, 0.5282) and Tm at (0.0000, 0.1235, 0.2500).